Sr2YCl: optimized geometry, PBE-GGA.

## Properties
formation energy from raw total energies = -0.217 eV/atom
space-group type = I-4m2
E above lowest polymorph = 528 meV per atom
V = 40.69 A^3/atom
electronic total energy = -3.135 eV per atom

abc: 4.7731 4.7731 14.2873
angles: 90.00 90.00 90.00
Positions (direct):
Sr1 0.0000 0.0000 0.0000
Sr2 0.0000 0.5000 0.2500
Sr3 0.5000 0.0000 0.7500
Sr4 0.5000 0.5000 0.5000
Y1 0.0000 0.5000 0.7500
Y2 0.5000 0.0000 0.2500
Cl1 0.0000 0.0000 0.5000
Cl2 0.5000 0.5000 0.0000